1.
DFT (GGA-PBE) results for crystalline Th4SiTe2S at its relaxed geometry.

```
Th4SiTe2S
1.0
7.206 0.000 0.000
0.000 4.256 0.000
-2.513 0.000 7.436
Th Si Te S
4 1 2 1
Cartesian
1.140 0.000 1.543
-0.132 2.128 5.873
4.825 2.128 1.563
3.552 0.000 5.893
3.603 0.000 0.000
-1.257 0.000 3.718
2.346 2.128 3.718
0.000 2.128 0.000
```

Summary:
The calculation puts the calculated density at 9.054 g/cm3. The calculation puts the density of states at the Fermi level at 5.28 states/eV/f.u. The value obtained for the raw formation energy is -28.1 kcal/mol of atoms.

2.
DFT (GGA-PBE) results for crystalline MnReTcRu2 at its relaxed geometry.

```
MnReTcRu2
1.0
4.330 0.000 0.000
0.000 4.330 0.000
0.000 0.000 4.415
Mn Re Tc Ru
1 1 1 2
Cartesian
0.000 0.000 0.000
0.000 0.000 2.207
2.165 2.165 2.207
0.000 2.165 0.000
2.165 0.000 0.000
```

Summary:
The calculation puts the calculated density at 10.859 g/cm3. The value obtained for the formation energy is 7.51 eV/f.u. The calculation puts the density of states at the Fermi level at 7.71 states/eV/f.u.

3.
DFT (GGA-PBE) results for crystalline BaNaRhPb2 at its relaxed geometry.

```
BaNaRhPb2
1.0
5.330 0.000 0.000
0.000 5.330 0.000
0.000 0.000 5.443
Ba Na Rh Pb
1 1 1 2
Cartesian
0.000 0.000 0.000
2.665 2.665 0.000
2.665 2.665 2.721
0.000 2.665 2.721
2.665 0.000 2.721
```

Summary:
The calculation puts the calculated density at 7.278 g/cm3. The value obtained for the formation energy is -0.99 eV/f.u. The relative energy among the computed polymorphs comes out at 0.000 eV/atom. The calculation puts the density of states at the Fermi level at 3.90 states/eV/f.u.

4.
DFT (GGA-PBE) results for crystalline HoTmMgHg at its relaxed geometry.

```
HoTmMgHg
1.0
0.000 3.713 3.713
3.713 0.000 3.713
3.713 3.713 0.000
Ho Tm Mg Hg
1 1 1 1
Cartesian
0.000 0.000 0.000
3.713 3.713 3.713
5.569 5.569 5.569
1.856 1.856 1.856
```

Summary:
The calculation puts the calculated density at 9.065 g/cm3. The value obtained for the formation energy is -1.02 eV/f.u. The relative energy among the computed polymorphs comes out at 0.018 eV/atom. The calculation puts the density of states at the Fermi level at 4.07 states/eV/f.u.